# ZrZn2Ir, relaxed, DFT GGA-PBE
data_ZrZn2Ir
_chemical_formula_sum 'Zr2 Zn4 Ir2'
_cell_length_a 9.419
_cell_length_b 3.013
_cell_length_c 4.829
_cell_angle_alpha 90.00
_cell_angle_beta 104.95
_cell_angle_gamma 90.00
_space_group_name_H-M_alt 'C 1 m 1'
_space_group_IT_number 8
loop_
_space_group_symop_operation_xyz
'x,y,z'
'x,-y,z'
'x+1/2,y+1/2,z'
'x+1/2,-y+1/2,z'
loop_
_atom_site_label
_atom_site_type_symbol
_atom_site_fract_x
_atom_site_fract_y
_atom_site_fract_z
_atom_site_occupancy
Zr1 Zr 0.000 0.000 0.000 1
Zn1 Zn 0.230 0.000 0.678 1
Zn2 Zn 0.476 0.000 0.493 1
Ir1 Ir 0.251 0.500 0.192 1
# - E_tot: -42.11 eV for the cell shown
# - Formation energy: -0.27 eV/atom